VASP calculation (GGA+U) on a geometry-optimized FeI2NO structure.

The space group is P4/mmm (No. 123) and the conventional cell measures 5.7205, 5.7205 and 3.6064 Å, with angles of 90.00, 90.00 and 90.00 degrees. The inequivalent atoms are Fe at (0.0000, 0.0000, 0.0000), I at (0.0000, 0.5000, 0.0000), N at (0.5000, 0.5000, 0.5000) and O at (0.0000, 0.0000, 0.5000).

The calculation puts the excess energy over the best structure of this formula in the dataset at 0.002 eV per atom. For the density, the calculation gives 4.78 g/cm³. Its total magnetization is 5.31 μB/f.u. The volume comes out at 23.60 A^3/atom.

VASP calculation (GGA+U) on a geometry-optimized FeI2NO structure.

The space group is P4/mmm (No. 123) and the conventional cell measures 5.0011, 5.0011 and 4.0508 Å, with angles of 90.00, 90.00 and 90.00 degrees. The inequivalent atoms are Fe at (0.0000, 0.0000, 0.0000), I at (0.0000, 0.5000, 0.5000), N at (0.5000, 0.5000, 0.0000) and O at (0.5000, 0.5000, 0.5000).

The calculation puts the excess energy over the best structure of this formula in the dataset at 0.377 eV per atom. For the density, the calculation gives 5.57 g/cm³. Its total magnetization is 5.63 μB/f.u. The volume comes out at 20.26 A^3/atom.

VASP calculation (GGA+U) on a geometry-optimized FeI2NO structure.

The space group is P4/mmm (No. 123) and the conventional cell measures 5.6647, 5.6647 and 3.6619 Å, with angles of 90.00, 90.00 and 90.00 degrees. The inequivalent atoms are Fe at (0.0000, 0.0000, 0.0000), I at (0.0000, 0.5000, 0.0000), N at (0.0000, 0.0000, 0.5000) and O at (0.5000, 0.5000, 0.5000).

The calculation puts the excess energy over the best structure of this formula in the dataset at 0.000 eV per atom. For the density, the calculation gives 4.80 g/cm³. Its total magnetization is 3.97 μB/f.u. The volume comes out at 23.50 A^3/atom.

VASP calculation (GGA+U) on a geometry-optimized FeI2NO structure.

The space group is P4/mmm (No. 123) and the conventional cell measures 5.0153, 5.0153 and 3.7383 Å, with angles of 90.00, 90.00 and 90.00 degrees. The inequivalent atoms are Fe at (0.0000, 0.0000, 0.0000), I at (0.0000, 0.5000, 0.5000), N at (0.5000, 0.5000, 0.5000) and O at (0.5000, 0.5000, 0.0000).

The calculation puts the excess energy over the best structure of this formula in the dataset at 0.113 eV per atom. For the density, the calculation gives 6.00 g/cm³. Its total magnetization is 3.82 μB/f.u. The volume comes out at 18.81 A^3/atom.

> Look up the volume of the third one.

23.50 A^3/atom